A crystal of ReNi5 relaxed with PBEsol. Source: the Alexandria database, functional meta-GGA SCAN.

Lattice parameters (Å, degrees): 4.3214 4.3214 4.0750 90.00 90.00 120.00
Space group P-62m (No. 189)
Symmetry-distinct sites (fractional):
Re (0.0000, 0.0000, 0.0000) (multiplicity 1)
Ni (0.0000, 0.6649, 0.5000) (multiplicity 3)
Ni (0.3333, 0.6667, 0.0000) (multiplicity 2)

Summary:
- Energy relative to the lowest polymorph listed for this composition: 0.0 meV/atom
- Volume: 65.90 Å³/f.u.
- Total magnetic moment: 0.000 μB/atom
- Formation enthalpy at 0 K: 27 kJ/mol of formula units

A crystal of Nd2IrAu relaxed with PBEsol. Source: the Alexandria database, functional meta-GGA SCAN.

Lattice parameters (Å, degrees): 7.128 7.128 7.128 90.00 90.00 90.00
Space group Fm-3m (No. 225)
Symmetry-distinct sites (fractional):
Nd (0.250, 0.250, 0.250) (multiplicity 8)
Ir (0.000, 0.000, 0.000) (multiplicity 4)
Au (0.000, 0.000, 0.500) (multiplicity 4)

Summary:
- Volume: 90.54 Å³/f.u.
- Total magnetic moment: 0.000 μB/atom
- Formation enthalpy at 0 K: -331 kJ/mol of formula units

A crystal of CaTl2Ag relaxed with PBEsol. Source: the Alexandria database, functional meta-GGA SCAN.

Lattice parameters (Å, degrees): 3.610 4.608 6.318 90.00 106.16 90.00
Space group Pm (No. 6)
Symmetry-distinct sites (fractional):
Ca (0.000, 0.000, 0.000) (multiplicity 1)
Tl (0.269, 0.000, 0.533) (multiplicity 1)
Tl (0.653, 0.500, 0.303) (multiplicity 1)
Ag (0.409, 0.500, 0.809) (multiplicity 1)

Summary:
- Volume: 100.94 Å³/f.u.
- Total magnetic moment: 0.000 μB/atom
- Formation enthalpy at 0 K: -78 kJ/mol of formula units

A crystal of CaTlCu relaxed with PBEsol. Source: the Alexandria database, functional meta-GGA SCAN.

Lattice parameters (Å, degrees): 3.502 3.502 10.722 90.00 90.00 90.00
Space group I4mm (No. 107)
Symmetry-distinct sites (fractional):
Ca (0.000, 0.000, 0.000) (multiplicity 2)
Tl (0.000, 0.000, 0.703) (multiplicity 2)
Cu (0.000, 0.000, 0.328) (multiplicity 2)

Summary:
- Volume: 65.73 Å³/f.u.
- Total magnetic moment: 0.000 μB/atom
- Formation enthalpy at 0 K: -39 kJ/mol of formula units

A crystal of NiRu2AuBr relaxed with PBEsol. Source: the Alexandria database, functional meta-GGA SCAN.

Lattice parameters (Å, degrees): 4.907 4.907 4.906 90.00 90.00 90.00
Space group P4/mmm (No. 123)
Symmetry-distinct sites (fractional):
Ni (0.000, 0.000, 0.000) (multiplicity 1)
Ru (0.000, 0.500, 0.500) (multiplicity 2)
Au (0.500, 0.500, 0.500) (multiplicity 1)
Br (0.500, 0.500, 0.000) (multiplicity 1)

Summary:
- Formation energy (no corrections): 199 kJ/mol of atoms
- Volume: 118.14 Å³/f.u.
- Total magnetic moment: 1.278 μB/atom

A crystal of TlCo2TcC relaxed with PBEsol. Source: the Alexandria database, functional meta-GGA SCAN.

Lattice parameters (Å, degrees): 4.552 4.552 3.878 90.00 90.00 90.00
Space group P4/mmm (No. 123)
Symmetry-distinct sites (fractional):
Tl (0.000, 0.000, 0.000) (multiplicity 1)
Co (0.000, 0.500, 0.500) (multiplicity 2)
Tc (0.500, 0.500, 0.500) (multiplicity 1)
C (0.500, 0.500, 0.000) (multiplicity 1)

Summary:
- Volume: 80.35 Å³/f.u.
- Total magnetic moment: 0.753 μB/atom
- Formation enthalpy at 0 K: 655 kJ/mol of formula units

A crystal of SrCo2Ir relaxed with PBEsol. Source: the Alexandria database, functional meta-GGA SCAN.

Lattice parameters (Å, degrees): 4.1262 4.1262 15.5427 90.00 90.00 120.00
Space group R-3m (No. 166, hexagonal axes)
Symmetry-distinct sites (fractional):
Sr (0.0000, 0.0000, 0.0000) (multiplicity 3)
Co (0.0000, 0.0000, 0.1861) (multiplicity 6)
Ir (0.0000, 0.0000, 0.5000) (multiplicity 3)

Summary:
- Volume: 76.39 Å³/f.u.
- Total magnetic moment: 0.777 μB/atom
- Formation enthalpy at 0 K: -40 kJ/mol of formula units

A crystal of CdAs2AuSe relaxed with PBEsol. Source: the Alexandria database, functional meta-GGA SCAN.

Lattice parameters (Å, degrees): 5.024 5.024 5.063 90.00 90.00 90.00
Space group P4/mmm (No. 123)
Symmetry-distinct sites (fractional):
Cd (0.000, 0.000, 0.000) (multiplicity 1)
As (0.000, 0.500, 0.000) (multiplicity 2)
Au (0.500, 0.500, 0.500) (multiplicity 1)
Se (0.000, 0.000, 0.500) (multiplicity 1)

Summary:
- Formation energy (no corrections): 111 kJ/mol of atoms
- Volume: 127.80 Å³/f.u.
- Total magnetic moment: 0.256 μB/atom

A crystal of BiSO2 relaxed with PBEsol. Source: the Alexandria database, functional meta-GGA SCAN.

Lattice parameters (Å, degrees): 5.963 5.963 5.963 90.00 90.00 90.00
Space group Fm-3m (No. 225)
Symmetry-distinct sites (fractional):
Bi (0.000, 0.000, 0.000) (multiplicity 4)
S (0.000, 0.000, 0.500) (multiplicity 4)
O (0.250, 0.250, 0.250) (multiplicity 8)

Summary:
- Formation energy (no corrections): 30 kJ/mol of atoms
- Volume: 53.02 Å³/f.u.
- Total magnetic moment: 0.601 μB/atom

A crystal of RbCaN2F relaxed with PBEsol. Source: the Alexandria database, functional meta-GGA SCAN.

Lattice parameters (Å, degrees): 4.764 4.764 4.418 90.00 90.00 90.00
Space group P4/mmm (No. 123)
Symmetry-distinct sites (fractional):
Rb (0.000, 0.000, 0.000) (multiplicity 1)
Ca (0.500, 0.500, 0.500) (multiplicity 1)
N (0.000, 0.500, 0.500) (multiplicity 2)
F (0.500, 0.500, 0.000) (multiplicity 1)

Summary:
- Formation energy (no corrections): -42 kJ/mol of atoms
- Volume: 100.26 Å³/f.u.
- Total magnetic moment: 0.800 μB/atom

A crystal of LaCu2Pt relaxed with PBEsol. Source: the Alexandria database, functional meta-GGA SCAN.

Lattice parameters (Å, degrees): 4.151 4.151 8.007 90.00 90.00 90.00
Space group I4/mmm (No. 139)
Symmetry-distinct sites (fractional):
La (0.000, 0.000, 0.000) (multiplicity 2)
Cu (0.000, 0.500, 0.250) (multiplicity 4)
Pt (0.000, 0.000, 0.500) (multiplicity 2)

Summary:
- Energy relative to the lowest polymorph listed for this composition: 216.7 meV/atom
- Volume: 69.00 Å³/f.u.
- Total magnetic moment: 0.000 μB/atom
- Formation enthalpy at 0 K: -146 kJ/mol of formula units

A crystal of LiCrCl2 relaxed with PBEsol. Source: the Alexandria database, functional meta-GGA SCAN.

Lattice parameters (Å, degrees): 6.493 6.493 6.493 90.00 90.00 90.00
Space group Fm-3m (No. 225)
Symmetry-distinct sites (fractional):
Li (0.000, 0.000, 0.000) (multiplicity 4)
Cr (0.000, 0.000, 0.500) (multiplicity 4)
Cl (0.250, 0.250, 0.250) (multiplicity 8)

Summary:
- Energy relative to the lowest polymorph listed for this composition: 116.9 meV/atom
- Formation energy (no corrections): -96 kJ/mol of atoms
- Volume: 68.44 Å³/f.u.
- Total magnetic moment: 1.250 μB/atom

A crystal of Li3Eu relaxed with PBEsol. Source: the Alexandria database, functional meta-GGA SCAN.

Lattice parameters (Å, degrees): 6.8990 6.8990 5.1761 90.00 90.00 120.00
Space group P6_3/mmc (No. 194)
Symmetry-distinct sites (fractional):
Li (0.1436, 0.2872, 0.2500) (multiplicity 6)
Eu (0.3333, 0.6667, 0.7500) (multiplicity 2)

Summary:
- Volume: 106.68 Å³/f.u.
- Total magnetic moment: 2.093 μB/atom
- Formation enthalpy at 0 K: 29 kJ/mol of formula units

A crystal of ScNbAu3 relaxed with PBEsol. Source: the Alexandria database, functional meta-GGA SCAN.

Lattice parameters (Å, degrees): 4.980 4.980 4.980 90.00 90.00 90.00
Space group Pm-3m (No. 221)
Symmetry-distinct sites (fractional):
Sc (0.000, 0.000, 0.000) (multiplicity 1)
Nb (0.500, 0.500, 0.500) (multiplicity 1)
Au (0.000, 0.500, 0.500) (multiplicity 3)

Summary:
- Volume: 123.54 Å³/f.u.
- Total magnetic moment: 0.130 μB/atom
- Formation enthalpy at 0 K: 234 kJ/mol of formula units

A crystal of ScCo2Ru relaxed with PBEsol. Source: the Alexandria database, functional meta-GGA SCAN.

Lattice parameters (Å, degrees): 3.022 3.022 5.870 90.00 90.00 90.00
Space group P4mm (No. 99)
Symmetry-distinct sites (fractional):
Sc (0.000, 0.000, 0.000) (multiplicity 1)
Co (0.000, 0.000, 0.481) (multiplicity 1)
Co (0.500, 0.500, 0.281) (multiplicity 1)
Ru (0.500, 0.500, 0.717) (multiplicity 1)

Summary:
- Volume: 53.62 Å³/f.u.
- Total magnetic moment: 1.096 μB/atom
- Formation enthalpy at 0 K: -43 kJ/mol of formula units

A crystal of Co2SiRhS relaxed with PBEsol. Source: the Alexandria database, functional meta-GGA SCAN.

Lattice parameters (Å, degrees): 4.547 4.547 4.397 90.00 90.00 90.00
Space group P4/mmm (No. 123)
Symmetry-distinct sites (fractional):
Co (0.000, 0.500, 0.000) (multiplicity 2)
Si (0.000, 0.000, 0.500) (multiplicity 1)
Rh (0.000, 0.000, 0.000) (multiplicity 1)
S (0.500, 0.500, 0.500) (multiplicity 1)

Summary:
- Formation energy (no corrections): 84 kJ/mol of atoms
- Volume: 90.90 Å³/f.u.
- Total magnetic moment: 1.113 μB/atom

A crystal of Tl2InAu relaxed with PBEsol. Source: the Alexandria database, functional meta-GGA SCAN.

Lattice parameters (Å, degrees): 3.5903 3.5903 27.2527 90.00 90.00 120.00
Space group R3m (No. 160, hexagonal axes)
Symmetry-distinct sites (fractional):
Tl (0.0000, 0.0000, 0.0000) (multiplicity 3)
Tl (0.0000, 0.0000, 0.2359) (multiplicity 3)
In (0.0000, 0.0000, 0.4768) (multiplicity 3)
Au (0.0000, 0.0000, 0.7426) (multiplicity 3)

Summary:
- Energy relative to the lowest polymorph listed for this composition: 0.0 meV/atom
- Volume: 101.41 Å³/f.u.
- Total magnetic moment: 0.000 μB/atom
- Formation enthalpy at 0 K: -21 kJ/mol of formula units

A crystal of ZrAlRe relaxed with PBEsol. Source: the Alexandria database, functional meta-GGA SCAN.

Lattice parameters (Å, degrees): 2.8755 2.8755 7.0568 90.00 90.00 120.00
Space group P3m1 (No. 156)
Symmetry-distinct sites (fractional):
Zr (0.0000, 0.0000, 0.0000) (multiplicity 1)
Al (0.3333, 0.6667, 0.6413) (multiplicity 1)
Re (0.6667, 0.3333, 0.3478) (multiplicity 1)

Summary:
- Energy relative to the lowest polymorph listed for this composition: 215.8 meV/atom
- Volume: 50.53 Å³/f.u.
- Total magnetic moment: 0.000 μB/atom
- Formation enthalpy at 0 K: 18 kJ/mol of formula units

A crystal of CdAsRh2 relaxed with PBEsol. Source: the Alexandria database, functional meta-GGA SCAN.

Lattice parameters (Å, degrees): 2.951 2.951 6.963 90.00 90.00 90.00
Space group P4/mmm (No. 123)
Symmetry-distinct sites (fractional):
Cd (0.000, 0.000, 0.000) (multiplicity 1)
As (0.000, 0.000, 0.500) (multiplicity 1)
Rh (0.500, 0.500, 0.290) (multiplicity 2)

Summary:
- Energy relative to the lowest polymorph listed for this composition: 0.0 meV/atom
- Volume: 60.62 Å³/f.u.
- Total magnetic moment: 0.000 μB/atom
- Formation enthalpy at 0 K: -127 kJ/mol of formula units

A crystal of LiFe2Br relaxed with PBEsol. Source: the Alexandria database, functional meta-GGA SCAN.

Lattice parameters (Å, degrees): 3.010 4.361 9.390 90.00 90.00 90.00
Space group Imm2 (No. 44)
Symmetry-distinct sites (fractional):
Li (0.000, 0.000, 0.000) (multiplicity 2)
Fe (0.000, 0.000, 0.490) (multiplicity 2)
Fe (0.000, 0.500, 0.175) (multiplicity 2)
Br (0.000, 0.500, 0.779) (multiplicity 2)

Summary:
- Energy relative to the lowest polymorph listed for this composition: 335.2 meV/atom
- Formation energy (no corrections): 41 kJ/mol of atoms
- Volume: 61.63 Å³/f.u.
- Total magnetic moment: 1.333 μB/atom

A crystal of Zr2OsPt relaxed with PBEsol. Source: the Alexandria database, functional meta-GGA SCAN.

Lattice parameters (Å, degrees): 3.964 3.964 8.855 90.00 90.00 90.00
Space group I-4m2 (No. 119)
Symmetry-distinct sites (fractional):
Zr (0.000, 0.000, 0.000) (multiplicity 2)
Zr (0.000, 0.500, 0.250) (multiplicity 2)
Os (0.000, 0.000, 0.500) (multiplicity 2)
Pt (0.000, 0.500, 0.750) (multiplicity 2)

Summary:
- Volume: 69.57 Å³/f.u.
- Total magnetic moment: 0.000 μB/atom
- Formation enthalpy at 0 K: -269 kJ/mol of formula units

A crystal of Pb2SeCl relaxed with PBEsol. Source: the Alexandria database, functional meta-GGA SCAN.

Lattice parameters (Å, degrees): 4.283 4.283 6.182 90.00 90.00 90.00
Space group P4mm (No. 99)
Symmetry-distinct sites (fractional):
Pb (0.000, 0.000, 0.000) (multiplicity 1)
Pb (0.500, 0.500, 0.464) (multiplicity 1)
Se (0.000, 0.000, 0.524) (multiplicity 1)
Cl (0.500, 0.500, 0.946) (multiplicity 1)

Summary:
- Energy relative to the lowest polymorph listed for this composition: 0.0 meV/atom
- Formation energy (no corrections): -49 kJ/mol of atoms
- Volume: 113.38 Å³/f.u.
- Total magnetic moment: 0.000 μB/atom

A crystal of Be2CrPt relaxed with PBEsol. Source: the Alexandria database, functional meta-GGA SCAN.

Lattice parameters (Å, degrees): 2.702 3.871 8.066 90.00 90.00 90.00
Space group Imm2 (No. 44)
Symmetry-distinct sites (fractional):
Be (0.000, 0.000, 0.000) (multiplicity 2)
Be (0.000, 0.500, 0.277) (multiplicity 2)
Cr (0.000, 0.500, 0.758) (multiplicity 2)
Pt (0.000, 0.000, 0.527) (multiplicity 2)

Summary:
- Volume: 42.19 Å³/f.u.
- Total magnetic moment: 0.575 μB/atom
- Formation enthalpy at 0 K: -125 kJ/mol of formula units

A crystal of Be2PF relaxed with PBEsol. Source: the Alexandria database, functional meta-GGA SCAN.

Lattice parameters (Å, degrees): 5.488 5.488 5.488 90.00 90.00 90.00
Space group Fm-3m (No. 225)
Symmetry-distinct sites (fractional):
Be (0.250, 0.250, 0.250) (multiplicity 8)
P (0.000, 0.000, 0.000) (multiplicity 4)
F (0.000, 0.000, 0.500) (multiplicity 4)

Summary:
- Formation energy (no corrections): -40 kJ/mol of atoms
- Volume: 41.31 Å³/f.u.
- Total magnetic moment: 0.000 μB/atom

A crystal of ZnFe2Co relaxed with PBEsol. Source: the Alexandria database, functional meta-GGA SCAN.

Lattice parameters (Å, degrees): 3.574 3.574 7.103 90.00 90.00 90.00
Space group I4/mmm (No. 139)
Symmetry-distinct sites (fractional):
Zn (0.000, 0.000, 0.000) (multiplicity 2)
Fe (0.000, 0.500, 0.250) (multiplicity 4)
Co (0.000, 0.000, 0.500) (multiplicity 2)

Summary:
- Volume: 45.38 Å³/f.u.
- Total magnetic moment: 1.733 μB/atom
- Formation enthalpy at 0 K: -34 kJ/mol of formula units

A crystal of CsLiB2H relaxed with PBEsol. Source: the Alexandria database, functional meta-GGA SCAN.

Lattice parameters (Å, degrees): 4.752 4.752 3.590 90.00 90.00 90.00
Space group P4/mmm (No. 123)
Symmetry-distinct sites (fractional):
Cs (0.000, 0.000, 0.000) (multiplicity 1)
Li (0.500, 0.500, 0.000) (multiplicity 1)
B (0.000, 0.500, 0.500) (multiplicity 2)
H (0.500, 0.500, 0.500) (multiplicity 1)

Summary:
- Final energy: -49.44 eV for the cell shown
- Volume: 81.07 Å³/f.u.
- Total magnetic moment: 0.001 μB/atom

A crystal of BaZnSe2 relaxed with PBEsol. Source: the Alexandria database, functional meta-GGA SCAN.

Lattice parameters (Å, degrees): 4.765 4.226 6.654 90.00 98.58 90.00
Space group Pm (No. 6)
Symmetry-distinct sites (fractional):
Ba (0.000, 0.000, 0.000) (multiplicity 1)
Zn (0.248, 0.500, 0.605) (multiplicity 1)
Se (0.034, 0.000, 0.486) (multiplicity 1)
Se (0.491, 0.500, 0.946) (multiplicity 1)

Summary:
- Formation energy (no corrections): -131 kJ/mol of atoms
- Volume: 132.50 Å³/f.u.
- Total magnetic moment: 0.000 μB/atom